This record from Alexandria describes a relaxed Cu6Ni2Rh crystal. The functional is GGA-PBE.

The calculation puts the total energy at -4.7616 eV/atom. The calculation puts the density of states at the Fermi level at 4.61 states/eV/cell. The calculation puts the formation energy at 0.071 eV/atom.

Structure (POSCAR):
```
Cu6Ni2Rh
1.0
2.567 0.000 0.000
-1.283 2.223 0.000
0.000 0.000 19.247
Cu Ni Rh
6 2 1
Direct
0.000 0.000 0.063 Cu
0.000 0.000 0.275 Cu
0.000 0.000 0.725 Cu
0.000 0.000 0.937 Cu
0.333 0.667 0.384 Cu
0.333 0.667 0.616 Cu
0.333 0.667 0.169 Ni
0.333 0.667 0.831 Ni
0.000 0.000 0.500 Rh
```